A plane-wave DFT calculation with PBE was carried out for a relaxed Tb3Th crystal.

Calculated values
Energy = -42.15 eV/cell
Energy of formation from the pure elements = 0.059 eV per atom
N(E_F) = 6.9 states/eV/f.u.

Cell: 5.7630 7.2150 6.2512 Å, 90.00 90.00 90.00°
With the nearest neighbours (Å) after each atom.
Positions (direct):
Tb1 0.2500 0.0009 0.1651  8 Tb 3.54-3.65, 4 Th 3.55-3.65
Tb2 0.2500 0.4991 0.1651  8 Tb 3.54-3.65, 4 Th 3.55-3.65
Tb3 0.2500 0.7500 0.6577  4 Th 3.55-3.61, 8 Tb 3.57-3.65
Tb4 0.7500 0.2500 0.3423  4 Th 3.55-3.61, 8 Tb 3.57-3.65
Tb5 0.7500 0.5009 0.8349  8 Tb 3.54-3.65, 4 Th 3.55-3.65
Tb6 0.7500 0.9991 0.8349  8 Tb 3.54-3.65, 4 Th 3.55-3.65
Th1 0.2500 0.2500 0.6727  12 Tb 3.55-3.65
Th2 0.7500 0.7500 0.3273  12 Tb 3.55-3.65

A plane-wave DFT calculation with PBE was carried out for a relaxed SnHgAu crystal.

Calculated values
Energy = -15.69 eV/cell
Energy of formation from the pure elements = -0.088 eV per atom
N(E_F) = 0.7 states/eV/f.u.

Cell: 4.7396 4.7396 8.2413 Å, 106.27 106.27 59.99°
With the nearest neighbours (Å) after each atom.
Positions (direct):
Sn1 0.1211 0.1211 0.3584  4 Au 2.81-2.87
Sn2 0.8789 0.8789 0.6416  4 Au 2.81-2.87
Hg1 0.3712 0.3712 0.1069  4 Au 2.97-3.04, 3 Hg 3.16-3.23
Hg2 0.6288 0.6288 0.8931  4 Au 2.97-3.04, 3 Hg 3.16-3.23
Au1 0.2395 0.2395 0.7260  4 Sn 2.81-2.87, 4 Hg 2.97-3.04
Au2 0.7605 0.7605 0.2740  4 Sn 2.81-2.87, 4 Hg 2.97-3.04

A plane-wave DFT calculation with PBE was carried out for a relaxed CoTeIr crystal.

Calculated values
Energy = -36.37 eV/cell
Uncorrected formation energy = 0.3073 eV per atom
N(E_F) = 4.1 states/eV/f.u.

Cell: 8.1246 4.0487 4.0487 Å, 56.34 90.00 90.00°
With the nearest neighbours (Å) after each atom.
Positions (direct):
Co1 0.0000 0.0000 0.0000  6 Ir 2.63-2.65
Co2 0.5000 0.2551 0.2551  4 Te 2.60, 2 Ir 2.82
Te1 0.3068 0.6426 0.6426  3 Ir 2.57-2.60, 2 Co 2.60
Te2 0.6932 0.6426 0.6426  3 Ir 2.57-2.60, 2 Co 2.60
Ir1 0.1586 0.3239 0.3239  3 Te 2.57-2.60, 1 Ir 2.58, 4 Co 2.63-2.82
Ir2 0.8414 0.3239 0.3239  3 Te 2.57-2.60, 1 Ir 2.58, 4 Co 2.63-2.82

A plane-wave DFT calculation with PBE was carried out for a relaxed KCo2Pb crystal.

Calculated values
Energy = -14.88 eV/cell
Energy of formation from the pure elements = 1.034 eV per atom
N(E_F) = 5.4 states/eV/f.u.

Cell: 9.6380 9.6380 9.6380 Å, 19.49 19.49 19.49°
With the nearest neighbours (Å) after each atom.
Positions (direct):
K1 0.0000 0.0000 0.0000  6 K 3.26, 6 Co 3.34
Co1 0.2361 0.2361 0.2361  3 Pb 2.73
Co2 0.7639 0.7639 0.7639  3 Pb 2.73
Pb1 0.5000 0.5000 0.5000  6 Co 2.73

A plane-wave DFT calculation with PBE was carried out for a relaxed KZr2Nb2 crystal.

Calculated values
Energy = -70.30 eV/cell
Energy of formation from the pure elements = 0.636 eV per atom
N(E_F) = 6.8 states/eV/f.u.

Cell: 9.2882 9.2882 2.9481 Å, 90.00 90.00 90.00°
With the nearest neighbours (Å) after each atom.
Positions (direct):
K1 0.0000 0.0000 0.0000  2 K 2.95
K2 0.5000 0.5000 0.0000  2 K 2.95
Zr1 0.1385 0.3615 0.5000  4 Nb 2.92, 2 Zr 2.95
Zr2 0.3615 0.8615 0.5000  4 Nb 2.92, 2 Zr 2.95
Zr3 0.6385 0.1385 0.5000  4 Nb 2.92, 2 Zr 2.95
Zr4 0.8615 0.6385 0.5000  4 Nb 2.92, 2 Zr 2.95
Nb1 0.1323 0.6323 0.0000  4 Zr 2.92, 2 Nb 2.95
Nb2 0.3677 0.1323 0.0000  4 Zr 2.92, 2 Nb 2.95
Nb3 0.6323 0.8677 0.0000  4 Zr 2.92, 2 Nb 2.95
Nb4 0.8677 0.3677 0.0000  4 Zr 2.92, 2 Nb 2.95

A plane-wave DFT calculation with PBE was carried out for a relaxed Ac2ZrAs3Pt4 crystal.

Calculated values
Energy = -64.08 eV/cell
Energy of formation from the pure elements = -0.920 eV per atom
N(E_F) = 5.4 states/eV/f.u.

Cell: 4.4481 4.4481 10.9226 Å, 90.00 90.00 90.00°
With the nearest neighbours (Å) after each atom.
Positions (direct):
Ac1 0.0000 0.5000 0.2292  6 As 3.33-3.70, 8 Pt 3.35-3.46, 2 Zr 3.70
Ac2 0.5000 0.0000 0.7708  6 As 3.33-3.70, 8 Pt 3.35-3.46, 2 Zr 3.70
Zr1 0.0000 0.0000 0.5000  4 Pt 2.70
As1 0.0000 0.5000 0.8722  5 Pt 2.54-2.63
As2 0.5000 0.0000 0.1278  5 Pt 2.54-2.63
As3 0.5000 0.5000 0.5000  4 Pt 2.70
Pt1 0.0000 0.0000 0.0000  4 As 2.63
Pt2 0.0000 0.5000 0.6395  3 As 2.54-2.70, 2 Zr 2.70
Pt3 0.5000 0.0000 0.3605  3 As 2.54-2.70, 2 Zr 2.70
Pt4 0.5000 0.5000 0.0000  4 As 2.63

A plane-wave DFT calculation with PBE was carried out for a relaxed Li7Cd3Hg crystal.

Calculated values
Energy = -36.94 eV/cell
Energy of formation from the pure elements = -0.184 eV per atom
N(E_F) = 4.5 states/eV/f.u.

Cell: 11.9344 11.9344 11.8138 Å, 90.00 90.00 164.95°
With the nearest neighbours (Å) after each atom.
Positions (direct):
Li1 0.0569 0.9431 0.6229  2 Hg 2.79, 2 Li 2.84-3.00, 2 Cd 2.95
Li2 0.0569 0.9431 0.8771  2 Hg 2.79, 2 Li 2.84-3.00, 2 Cd 2.95
Li3 0.0842 0.9158 0.1111  2 Hg 2.76, 1 Li 2.84, 4 Cd 2.87-2.88
Li4 0.0842 0.9158 0.3889  2 Hg 2.76, 1 Li 2.84, 4 Cd 2.87-2.88
Li5 0.1755 0.8245 0.7500  4 Cd 2.99, 8 Li 3.13-3.18
Li6 0.2311 0.7689 0.1083  5 Cd 2.85-2.96, 6 Li 3.13-3.18
Li7 0.2311 0.7689 0.3917  5 Cd 2.85-2.96, 6 Li 3.13-3.18
Li8 0.7689 0.2311 0.6083  5 Cd 2.85-2.96, 6 Li 3.13-3.18
Li9 0.7689 0.2311 0.8917  5 Cd 2.85-2.96, 6 Li 3.13-3.18
Li10 0.8245 0.1755 0.2500  4 Cd 2.99, 8 Li 3.13-3.18
Li11 0.9158 0.0842 0.6111  2 Hg 2.76, 1 Li 2.84, 4 Cd 2.87-2.88
Li12 0.9158 0.0842 0.8889  2 Hg 2.76, 1 Li 2.84, 4 Cd 2.87-2.88
Li13 0.9431 0.0569 0.1229  2 Hg 2.79, 2 Li 2.84-3.00, 2 Cd 2.95
Li14 0.9431 0.0569 0.3771  2 Hg 2.79, 2 Li 2.84-3.00, 2 Cd 2.95
Cd1 0.3412 0.6588 0.7500  8 Li 2.86-2.87, 2 Cd 3.13
Cd2 0.3461 0.6539 0.0384  9 Li 2.85-2.99, 2 Cd 3.13
Cd3 0.3461 0.6539 0.4616  9 Li 2.85-2.99, 2 Cd 3.13
Cd4 0.6539 0.3461 0.5384  9 Li 2.85-2.99, 2 Cd 3.13
Cd5 0.6539 0.3461 0.9616  9 Li 2.85-2.99, 2 Cd 3.13
Cd6 0.6588 0.3412 0.2500  8 Li 2.86-2.87, 2 Cd 3.13
Hg1 0.4826 0.5174 0.7500  8 Li 2.76-2.79
Hg2 0.5174 0.4826 0.2500  8 Li 2.76-2.79

A plane-wave DFT calculation with PBE was carried out for a relaxed Li5Eu3Te12 crystal.

Calculated values
Energy = -365.33 eV/cell
Uncorrected formation energy = -0.6619 eV per atom
N(E_F) = 26.6 states/eV/f.u.

Cell: 15.7827 15.7827 15.7827 Å, 109.47 109.47 109.47°
With the nearest neighbours (Å) after each atom.
Positions (direct):
Li1 0.0000 0.0000 0.0000  6 Te 3.66
Li2 0.0000 0.0000 0.5000  6 Te 3.66
Li3 0.0000 0.5000 0.0000  6 Te 3.66
Li4 0.0000 0.5000 0.5000  6 Te 3.66
Li5 0.1250 0.7500 0.8750  4 Te 2.74
Li6 0.1250 0.8750 0.2500  4 Te 2.74
Li7 0.2500 0.1250 0.8750  4 Te 2.74
Li8 0.2500 0.6250 0.3750  4 Te 2.74
Li9 0.3750 0.2500 0.6250  4 Te 2.74
Li10 0.3750 0.6250 0.7500  4 Te 2.74
Li11 0.5000 0.0000 0.0000  6 Te 3.66
Li12 0.5000 0.0000 0.5000  6 Te 3.66
Li13 0.5000 0.5000 0.0000  6 Te 3.66
Li14 0.5000 0.5000 0.5000  6 Te 3.66
Li15 0.6250 0.3750 0.2500  4 Te 2.74
Li16 0.6250 0.7500 0.3750  4 Te 2.74
Li17 0.7500 0.3750 0.6250  4 Te 2.74
Li18 0.7500 0.8750 0.1250  4 Te 2.74
Li19 0.8750 0.1250 0.7500  4 Te 2.74
Li20 0.8750 0.2500 0.1250  4 Te 2.74
Eu1 0.1250 0.2500 0.3750  8 Te 3.15-3.42
Eu2 0.1250 0.3750 0.7500  8 Te 3.15-3.42
Eu3 0.2500 0.3750 0.1250  8 Te 3.15-3.42
Eu4 0.2500 0.8750 0.6250  8 Te 3.15-3.42
Eu5 0.3750 0.1250 0.2500  8 Te 3.15-3.42
Eu6 0.3750 0.7500 0.1250  8 Te 3.15-3.42
Eu7 0.6250 0.2500 0.8750  8 Te 3.15-3.42
Eu8 0.6250 0.8750 0.7500  8 Te 3.15-3.42
Eu9 0.7500 0.1250 0.3750  8 Te 3.15-3.42
Eu10 0.7500 0.6250 0.8750  8 Te 3.15-3.42
Eu11 0.8750 0.6250 0.2500  8 Te 3.15-3.42
Eu12 0.8750 0.7500 0.6250  8 Te 3.15-3.42
Te1 0.0624 0.2668 0.1538  1 Li 2.74, 1 Te 2.83
Te2 0.0624 0.2957 0.9086  1 Li 2.74, 1 Te 2.83
Te3 0.0914 0.6538 0.3871  1 Li 2.74, 1 Te 2.83
Te4 0.0914 0.9376 0.7043  1 Li 2.74, 1 Te 2.83
Te5 0.1129 0.7668 0.7043  1 Li 2.74, 1 Te 2.83
Te6 0.1129 0.8462 0.4086  1 Li 2.74, 1 Te 2.83
Te7 0.1538 0.0624 0.2668  1 Li 2.74, 1 Te 2.83
Te8 0.1538 0.5914 0.8871  1 Li 2.74, 1 Te 2.83
Te9 0.2043 0.2668 0.6129  1 Li 2.74, 1 Te 2.83
Te10 0.2043 0.4376 0.5914  1 Li 2.74, 1 Te 2.83
Te11 0.2332 0.2957 0.8871  1 Li 2.74, 1 Te 2.83
Te12 0.2332 0.4376 0.3462  1 Li 2.74, 1 Te 2.83
Te13 0.2668 0.1538 0.0624  1 Li 2.74, 1 Te 2.83
Te14 0.2668 0.6129 0.2043  1 Li 2.74, 1 Te 2.83
Te15 0.2957 0.8871 0.2332  1 Li 2.74, 1 Te 2.83
Te16 0.2957 0.9086 0.0624  1 Li 2.74, 1 Te 2.83
Te17 0.3462 0.2332 0.4376  1 Li 2.74, 1 Te 2.83
Te18 0.3462 0.6129 0.9086  1 Li 2.74, 1 Te 2.83
Te19 0.3871 0.0914 0.6538  1 Li 2.74, 1 Te 2.83
Te20 0.3871 0.7957 0.7332  1 Li 2.74, 1 Te 2.83
Te21 0.4086 0.1129 0.8462  1 Li 2.74, 1 Te 2.83
Te22 0.4086 0.7957 0.5624  1 Li 2.74, 1 Te 2.83
Te23 0.4376 0.3462 0.2332  1 Li 2.74, 1 Te 2.83
Te24 0.4376 0.5914 0.2043  1 Li 2.74, 1 Te 2.83
Te25 0.5624 0.4086 0.7957  1 Li 2.74, 1 Te 2.83
Te26 0.5624 0.6538 0.7668  1 Li 2.74, 1 Te 2.83
Te27 0.5914 0.2043 0.4376  1 Li 2.74, 1 Te 2.83
Te28 0.5914 0.8871 0.1538  1 Li 2.74, 1 Te 2.83
Te29 0.6129 0.2043 0.2668  1 Li 2.74, 1 Te 2.83
Te30 0.6129 0.9086 0.3462  1 Li 2.74, 1 Te 2.83
Te31 0.6538 0.3871 0.0914  1 Li 2.74, 1 Te 2.83
Te32 0.6538 0.7668 0.5624  1 Li 2.74, 1 Te 2.83
Te33 0.7043 0.0914 0.9376  1 Li 2.74, 1 Te 2.83
Te34 0.7043 0.1129 0.7668  1 Li 2.74, 1 Te 2.83
Te35 0.7332 0.3871 0.7957  1 Li 2.74, 1 Te 2.83
Te36 0.7332 0.8462 0.9376  1 Li 2.74, 1 Te 2.83
Te37 0.7668 0.5624 0.6538  1 Li 2.74, 1 Te 2.83
Te38 0.7668 0.7043 0.1129  1 Li 2.74, 1 Te 2.83
Te39 0.7957 0.5624 0.4086  1 Li 2.74, 1 Te 2.83
Te40 0.7957 0.7332 0.3871  1 Li 2.74, 1 Te 2.83
Te41 0.8462 0.4086 0.1129  1 Li 2.74, 1 Te 2.83
Te42 0.8462 0.9376 0.7332  1 Li 2.74, 1 Te 2.83
Te43 0.8871 0.1538 0.5914  1 Li 2.74, 1 Te 2.83
Te44 0.8871 0.2332 0.2957  1 Li 2.74, 1 Te 2.83
Te45 0.9086 0.0624 0.2957  1 Li 2.74, 1 Te 2.83
Te46 0.9086 0.3462 0.6129  1 Li 2.74, 1 Te 2.83
Te47 0.9376 0.7043 0.0914  1 Li 2.74, 1 Te 2.83
Te48 0.9376 0.7332 0.8462  1 Li 2.74, 1 Te 2.83

A plane-wave DFT calculation with PBE was carried out for a relaxed CsRb2Cd2In crystal.

Calculated values
Energy = -14.86 eV/cell
Energy of formation from the pure elements = -0.012 eV per atom
N(E_F) = 2.9 states/eV/f.u.

Cell: 5.4458 10.1242 10.2867 Å, 90.00 90.00 90.00°
With the nearest neighbours (Å) after each atom.
Positions (direct):
Cs1 0.0000 0.0451 0.0000  5 Cd 3.80-3.95, 1 Rb 3.99
Cs2 0.0000 0.9549 0.5000  5 Cd 3.80-3.95, 1 Rb 3.99
Rb1 0.0000 0.3262 0.6289  4 Cd 3.69-3.99, 1 Cs 3.99
Rb2 0.0000 0.6738 0.1289  4 Cd 3.69-3.99, 1 Cs 3.99
Rb3 0.5000 0.4062 0.9679  2 In 3.97-4.03, 5 Cd 4.17-4.37, 2 Rb 4.18
Rb4 0.5000 0.5938 0.4679  2 In 3.97-4.03, 5 Cd 4.17-4.37, 2 Rb 4.18
Cd1 0.0000 0.3228 0.2701  2 In 2.92
Cd2 0.0000 0.6772 0.7701  2 In 2.92
Cd3 0.5000 0.0630 0.7432  1 In 3.08
Cd4 0.5000 0.9370 0.2432  1 In 3.08
In1 0.5000 0.2315 0.3197  3 Cd 2.92-3.08
In2 0.5000 0.7685 0.8197  3 Cd 2.92-3.08

A plane-wave DFT calculation with PBE was carried out for a relaxed NiRh2 crystal.

Calculated values
Energy = -40.71 eV/cell
Energy of formation from the pure elements = 0.043 eV per atom
N(E_F) = 5.2 states/eV/f.u.

Cell: 5.9690 5.9690 3.7572 Å, 90.00 90.00 143.56°
With the nearest neighbours (Å) after each atom.
Positions (direct):
Ni1 0.0807 0.9193 0.7500  2 Ni 2.62, 10 Rh 2.63-2.69
Ni2 0.9193 0.0807 0.2500  2 Ni 2.62, 10 Rh 2.63-2.69
Rh1 0.2481 0.7519 0.2500  8 Rh 2.65-2.69, 4 Ni 2.67-2.69
Rh2 0.4178 0.5822 0.7500  6 Ni 2.63-2.65, 6 Rh 2.65-2.69
Rh3 0.5822 0.4178 0.2500  6 Ni 2.63-2.65, 6 Rh 2.65-2.69
Rh4 0.7519 0.2481 0.7500  8 Rh 2.65-2.69, 4 Ni 2.67-2.69

A plane-wave DFT calculation with PBE was carried out for a relaxed K2NaPd2 crystal.

Calculated values
Energy = -12.36 eV/cell
Energy of formation from the pure elements = 0.307 eV per atom
N(E_F) = 1.8 states/eV/f.u.

Cell: 7.4638 7.4638 7.4638 Å, 141.16 141.16 56.09°
With the nearest neighbours (Å) after each atom.
Positions (direct):
K1 0.2500 0.7500 0.5000  4 Pd 3.18, 4 K 3.51
K2 0.7500 0.2500 0.5000  4 Pd 3.18, 4 K 3.51
Na1 0.0000 0.0000 0.0000  8 Pd 3.74, 8 K 4.12
Pd1 0.4012 0.4012 0.0000  1 Pd 2.60
Pd2 0.5988 0.5988 0.0000  1 Pd 2.60

A plane-wave DFT calculation with PBE was carried out for a relaxed Er3In2Hg4 crystal.

Calculated values
Energy = -23.91 eV/cell
Energy of formation from the pure elements = -0.393 eV per atom
N(E_F) = 4.4 states/eV/f.u.

Cell: 6.0546 6.0546 9.2352 Å, 115.39 115.39 47.61°
With the nearest neighbours (Å) after each atom.
Positions (direct):
Er1 0.0000 0.0000 0.0000  8 Hg 3.18-3.56, 4 In 3.31, 2 Er 3.52
Er2 0.3346 0.3346 0.3286  4 Hg 3.11-3.24, 4 In 3.30-3.42
Er3 0.6654 0.6654 0.6714  4 Hg 3.11-3.24, 4 In 3.30-3.42
In1 0.3918 0.3918 0.7264  5 Hg 2.87-3.21
In2 0.6082 0.6082 0.2736  5 Hg 2.87-3.21
Hg1 0.0883 0.0883 0.4239  3 In 2.87-3.21, 1 Hg 2.89, 2 Er 3.18
Hg2 0.3080 0.3080 0.9780  2 In 2.88-3.16, 2 Hg 2.88, 3 Er 3.11-3.18
Hg3 0.6920 0.6920 0.0220  2 In 2.88-3.16, 2 Hg 2.88, 3 Er 3.11-3.18
Hg4 0.9117 0.9117 0.5761  3 In 2.87-3.21, 1 Hg 2.89, 2 Er 3.18